A geometry-optimized Ti3TcBi structure, computed with PBEsol.

abc: 4.966 4.966 4.966
angles: 90.00 90.00 90.00
Element x y z (fractional)
Ti1 0.000 0.000 0.500
Ti2 0.000 0.500 0.000
Ti3 0.500 0.000 0.000
Tc1 0.500 0.500 0.500
Bi1 0.000 0.000 0.000

Summary:
Its space-group type is Pm-3m, No. 221. As for the formation energy: 172.3 kJ/mol of atoms.


A geometry-optimized TlTcBi3 structure, computed with PBEsol.

abc: 5.298 5.298 5.298
angles: 90.00 90.00 90.00
Element x y z (fractional)
Tl1 0.000 0.000 0.000
Tc1 0.500 0.500 0.500
Bi1 0.000 0.500 0.500
Bi2 0.500 0.000 0.500
Bi3 0.500 0.500 0.000

Summary:
Its space-group type is Pm-3m, No. 221. As for the formation energy: 45.9 kJ/mol of atoms.


A geometry-optimized Zn3TcBi structure, computed with PBEsol.

abc: 4.744 4.744 4.744
angles: 90.00 90.00 90.00
Element x y z (fractional)
Zn1 0.000 0.000 0.500
Zn2 0.000 0.500 0.000
Zn3 0.500 0.000 0.000
Tc1 0.000 0.000 0.000
Bi1 0.500 0.500 0.500

Summary:
Its space-group type is Pm-3m, No. 221. As for the formation energy: 75.1 kJ/mol of atoms.


A geometry-optimized ZnTcBi3 structure, computed with PBEsol.

abc: 5.242 5.242 5.242
angles: 90.00 90.00 90.00
Element x y z (fractional)
Zn1 0.000 0.000 0.000
Tc1 0.500 0.500 0.500
Bi1 0.000 0.500 0.500
Bi2 0.500 0.000 0.500
Bi3 0.500 0.500 0.000

Summary:
Its space-group type is Pm-3m, No. 221. As for the formation energy: 64.1 kJ/mol of atoms.


A geometry-optimized ZnTcBi3 structure, computed with PBEsol.

abc: 5.214 5.214 5.214
angles: 90.00 90.00 90.00
Element x y z (fractional)
Zn1 0.000 0.000 0.000
Tc1 0.500 0.500 0.500
Bi1 0.000 0.000 0.500
Bi2 0.000 0.500 0.000
Bi3 0.500 0.000 0.000

Summary:
Its space-group type is Pm-3m, No. 221. As for the formation energy: 123.7 kJ/mol of atoms.


A geometry-optimized Bi4Te3 structure, computed with PBEsol.

abc: 14.046 14.046 14.046
angles: 18.19 18.19 18.19
Element x y z (fractional)
Bi1 0.147 0.147 0.147
Bi2 0.286 0.286 0.286
Bi3 0.714 0.714 0.714
Bi4 0.853 0.853 0.853
Te1 0.000 0.000 0.000
Te2 0.422 0.422 0.422
Te3 0.578 0.578 0.578

Summary:
Its space-group type is R-3m, No. 166. Its uncorrected formation energy is -164 meV/atom.


A geometry-optimized Bi8Te9 structure, computed with PBEsol.

abc: 34.107 34.107 34.107
angles: 7.41 7.41 7.41
Element x y z (fractional)
Bi1 0.088 0.088 0.088
Bi2 0.147 0.147 0.147
Bi3 0.325 0.325 0.325
Bi4 0.382 0.382 0.382
Bi5 0.618 0.618 0.618
Bi6 0.675 0.675 0.675
Bi7 0.853 0.853 0.853
Bi8 0.912 0.912 0.912
Te1 0.032 0.032 0.032
Te2 0.203 0.203 0.203
Te3 0.265 0.265 0.265
Te4 0.438 0.438 0.438
Te5 0.500 0.500 0.500
Te6 0.562 0.562 0.562
Te7 0.735 0.735 0.735
Te8 0.797 0.797 0.797
Te9 0.968 0.968 0.968

Summary:
Its space-group type is R-3m, No. 166. Its uncorrected formation energy is -199 meV/atom.


A geometry-optimized Bi8Te7 structure, computed with PBEsol.

abc: 4.428 4.428 89.274
angles: 90.00 90.00 120.00
Element x y z (fractional)
Bi1 0.000 0.000 0.068
Bi2 0.000 0.000 0.133
Bi3 0.000 0.000 0.335
Bi4 0.000 0.000 0.400
Bi5 0.000 0.000 0.600
Bi6 0.000 0.000 0.665
Bi7 0.000 0.000 0.867
Bi8 0.000 0.000 0.932
Bi9 0.333 0.667 0.022
Bi10 0.333 0.667 0.087
Bi11 0.333 0.667 0.289
Bi12 0.333 0.667 0.354
Bi13 0.333 0.667 0.491
Bi14 0.333 0.667 0.556
Bi15 0.333 0.667 0.756
Bi16 0.333 0.667 0.822
Bi17 0.667 0.333 0.178
Bi18 0.667 0.333 0.244
Bi19 0.667 0.333 0.444
Bi20 0.667 0.333 0.509
Bi21 0.667 0.333 0.646
Bi22 0.667 0.333 0.711
Bi23 0.667 0.333 0.913
Bi24 0.667 0.333 0.978
Te1 0.000 0.000 0.000
Te2 0.000 0.000 0.197
Te3 0.000 0.000 0.267
Te4 0.000 0.000 0.464
Te5 0.000 0.000 0.536
Te6 0.000 0.000 0.733
Te7 0.000 0.000 0.803
Te8 0.333 0.667 0.155
Te9 0.333 0.667 0.225
Te10 0.333 0.667 0.422
Te11 0.333 0.667 0.619
Te12 0.333 0.667 0.692
Te13 0.333 0.667 0.886
Te14 0.333 0.667 0.959
Te15 0.667 0.333 0.041
Te16 0.667 0.333 0.114
Te17 0.667 0.333 0.308
Te18 0.667 0.333 0.381
Te19 0.667 0.333 0.578
Te20 0.667 0.333 0.775
Te21 0.667 0.333 0.845

Summary:
Its space-group type is P-3m1, No. 164. Its uncorrected formation energy is -177 meV/atom.


A geometry-optimized Bi2Te3 structure, computed with PBEsol.

abc: 10.408 10.408 10.408
angles: 24.31 24.31 24.31
Element x y z (fractional)
Bi1 0.100 0.100 0.100
Bi2 0.900 0.900 0.900
Te1 0.290 0.290 0.290
Te2 0.500 0.500 0.500
Te3 0.710 0.710 0.710

Summary:
Its space-group type is R-3m, No. 166. Its uncorrected formation energy is -225 meV/atom.


A geometry-optimized TiBiTe2 structure, computed with PBEsol.

abc: 9.937 9.937 9.937
angles: 21.09 21.09 21.09
Element x y z (fractional)
Ti1 0.000 0.000 0.000
Bi1 0.500 0.500 0.500
Te1 0.393 0.393 0.393
Te2 0.607 0.607 0.607

Summary:
Its space-group type is R-3m, No. 166. Its uncorrected formation energy is -448 meV/atom.


A geometry-optimized TiBiTe2 structure, computed with PBEsol.

abc: 6.627 6.627 6.627
angles: 106.46 106.46 115.68
Element x y z (fractional)
Ti1 0.000 0.000 0.000
Ti2 0.750 0.250 0.500
Bi1 0.250 0.750 0.500
Bi2 0.500 0.500 0.000
Te1 0.081 0.625 0.956
Te2 0.375 0.331 0.456
Te3 0.669 0.125 0.044
Te4 0.875 0.919 0.544

Summary:
Its space-group type is I-42d, No. 122. Its uncorrected formation energy is -35 meV/atom.


A geometry-optimized UBiTe structure, computed with PBEsol.

abc: 4.341 4.341 8.898
angles: 90.00 90.00 90.00
Element x y z (fractional)
U1 0.250 0.250 0.213
U2 0.750 0.750 0.787
Bi1 0.250 0.750 0.500
Bi2 0.750 0.250 0.500
Te1 0.250 0.250 0.862
Te2 0.750 0.750 0.138

Summary:
Its space-group type is P4/nmm, No. 129. Its uncorrected formation energy is -290 meV/atom.